Cs3HfTe6Pb2 PBE-GGA relaxed; uncorrected formation energy = -0.76 eV/atom; total magnetization = 0.000 μB/atom
1.0
-2.9099 -6.3235 -3.9049
1.0480 -0.3366 7.9051
-7.6003 5.2417 -0.1101
Cs Hf Te Pb
3 1 6 2
Cartesian
-3.4525 1.2249 5.7604
-6.0098 -2.6433 -1.8702
-4.7311 -0.7092 1.9451
0.0000 0.0000 0.0000
-8.2467 -1.8834 1.2691
-2.8713 -4.0800 3.0306
-1.2156 0.4650 2.6210
-7.0477 -0.0698 4.8467
-6.5910 2.6617 0.8596
-2.4146 -1.3486 -0.9565
-0.2773 -2.3413 3.9506
-1.5847 -4.3188 0.0496

=====

CsHfPd3 PBE-GGA relaxed; energy relative to the lowest polymorph listed for this composition = 0 meV per atom; calculated formation energy = 0.316 eV per atom; total magnetization = 0.000 μB/atom
1.0
5.1601 0.0000 0.0000
0.0000 5.1601 0.0000
0.0000 0.0000 5.1601
Cs Hf Pd
1 1 3
Cartesian
2.5800 2.5800 2.5800
0.0000 0.0000 0.0000
0.0000 2.5800 0.0000
0.0000 0.0000 2.5800
2.5800 0.0000 0.0000

=====

CsHfPd3 PBE-GGA relaxed; energy relative to the lowest polymorph listed for this composition = 1342 meV per atom; calculated formation energy = 1.657 eV per atom; total magnetization = 0.191 μB/atom
1.0
5.1472 0.0000 0.0000
0.0000 5.1472 0.0000
0.0000 0.0000 5.1472
Cs Hf Pd
1 1 3
Cartesian
0.0000 0.0000 0.0000
2.5736 2.5736 2.5736
0.0000 2.5736 0.0000
0.0000 0.0000 2.5736
2.5736 0.0000 0.0000

=====

CsHf2Pd PBE-GGA relaxed; calculated formation energy = 0.834 eV per atom; total magnetization = 0.000 μB/atom
1.0
1.7038 -3.4193 3.2161
-3.0686 -3.5295 1.7502
0.5583 -4.7425 -1.4609
Cs Hf Pd
1 2 1
Cartesian
-0.4033 -5.8457 1.7527
-0.2016 -2.9228 0.8763
-0.6049 -8.7685 2.6290
0.0000 0.0000 0.0000

=====

CsHf2RePd PBE-GGA relaxed; calculated formation energy = 1.248 eV per atom; total magnetization = 0.000 μB/atom
1.0
5.0489 0.0000 0.0000
0.0000 5.8222 0.0000
0.0000 0.0000 5.0489
Cs Re Hf Pd
1 1 2 1
Cartesian
0.0000 2.9111 0.0000
0.0000 0.0000 0.0000
0.0000 0.0000 2.5244
2.5244 0.0000 0.0000
2.5244 2.9111 2.5244

=====

Cs2HfPdS4 PBE-GGA relaxed; uncorrected formation energy = -1.08 eV/atom; total magnetization = 0.244 μB/atom
1.0
6.0659 0.0000 0.0000
3.0330 7.1509 0.0000
3.0330 0.0000 12.7879
Cs Hf Pd S
4 2 2 8
Cartesian
3.0330 0.0000 8.2533
6.0659 0.0000 4.5347
7.5824 3.5754 10.9286
7.5824 3.5754 1.8593
7.5824 3.5754 6.3940
0.0000 0.0000 0.0000
4.5494 3.5754 6.3940
3.0330 0.0000 0.0000
4.5166 5.8039 1.3033
4.5166 1.3470 11.4846
10.6483 5.8039 11.4846
4.5823 1.3470 1.3033
6.0988 4.9224 5.0907
6.0988 2.2285 7.6973
9.0660 4.9224 7.6973
3.0001 2.2285 5.0907

=====

Cs2HfPdS PBE-GGA relaxed; uncorrected formation energy = 0.25 eV/atom; total magnetization = 0.107 μB/atom
1.0
6.7555 0.0000 0.0000
0.0000 4.8307 0.0000
0.0000 0.0000 6.7555
Cs S Hf Pd
2 1 1 1
Cartesian
0.0000 0.0000 3.3778
3.3778 0.0000 0.0000
0.0000 0.0000 0.0000
0.0000 2.4154 0.0000
3.3778 2.4154 3.3778

=====

CsHf2ScPd PBE-GGA relaxed; calculated formation energy = 1.196 eV per atom; total magnetization = 0.004 μB/atom
1.0
-3.7084 2.4777 -2.9643
1.1902 -2.9935 -3.9910
-3.6581 -3.5735 1.5894
Cs Sc Hf Pd
1 1 2 1
Cartesian
-3.0881 -2.0447 -2.6830
0.0000 0.0000 0.0000
-1.8290 -1.7868 0.7947
-1.8542 1.2388 -1.4822
0.5951 -1.4967 -1.9955

=====

Cs3Pm2HfS6 PBE-GGA relaxed; uncorrected formation energy = -1.66 eV/atom; total magnetization = 0.000 μB/atom
1.0
-2.3263 6.4024 -1.8002
1.9787 -4.5615 -4.9921
-7.4319 -3.4663 1.8826
Cs Pm Hf S
3 2 1 6
Cartesian
-2.4713 -4.4250 -3.5065
-5.3081 2.7997 -1.4032
-3.8897 -0.8127 -2.4548
0.5427 -0.9042 -3.9274
-0.8902 2.7451 -2.8650
0.0000 0.0000 0.0000
-7.0169 0.2986 -3.3009
-1.6253 0.7507 -4.7708
-0.7626 -1.9239 -1.6088
-5.6903 -3.0799 -4.2845
-6.1541 -2.3760 -0.1388
-2.0892 1.4546 -0.6252

=====

Cs3Pm3HfS8 PBE-GGA relaxed; uncorrected formation energy = -1.79 eV/atom; total magnetization = 0.000 μB/atom
1.0
8.1653 -0.0002 0.0000
-4.0828 7.0729 -0.0295
0.0001 -4.6840 8.2581
Cs Pm Hf S
3 3 1 8
Cartesian
0.0000 0.0000 0.0000
-2.0414 3.5365 -0.0147
2.0412 3.5364 -0.0147
4.0827 -2.3421 4.1291
2.0413 1.1944 4.1143
-2.0413 1.1944 4.1143
0.0000 -2.3420 4.1291
0.0000 2.3671 2.5800
4.0826 0.0216 5.6486
4.0826 2.5549 2.6675
0.0000 -0.1661 5.5612
6.2867 -1.2633 2.6834
-2.2042 3.6521 5.5452
1.8786 -1.2633 2.6834
2.2040 3.6520 5.5452

=====

CsPmHfS4 PBE-GGA relaxed; uncorrected formation energy = -1.67 eV/atom; total magnetization = 0.000 μB/atom
1.0
7.0118 0.0000 -0.1564
0.0000 7.0796 0.0000
-2.9518 0.0000 9.2526
Cs Pm Hf S
2 2 2 8
Cartesian
2.2875 5.3097 8.6020
1.7724 1.7699 0.4942
4.2334 5.3097 4.0697
-0.1734 1.7699 5.0265
0.7173 5.3097 3.1267
3.3427 1.7699 5.9695
4.9544 3.5503 6.2003
-0.8944 0.0105 2.8959
-0.8944 3.5293 2.8959
4.9544 7.0692 6.2003
2.6068 5.3097 1.6879
1.4531 1.7699 7.4083
1.6247 5.3097 5.2812
2.4353 1.7699 3.8149

=====

Cs4Pm3HfSe8 PBE-GGA relaxed; uncorrected formation energy = -1.59 eV/atom; total magnetization = 0.000 μB/atom
1.0
8.5196 0.0000 0.0000
0.0000 9.7071 0.8210
-4.2598 -4.2581 6.0296
Cs Pm Hf Se
4 3 1 8
Cartesian
4.2598 0.0000 0.0000
2.1299 -2.1291 3.0148
0.0000 0.0000 0.0000
-2.1299 -2.1291 3.0148
4.2598 4.8536 0.4105
2.1299 2.7245 3.4253
-2.1299 2.7245 3.4253
0.0000 4.8536 0.4105
-2.2752 2.5249 6.3997
0.0000 4.7996 3.1805
0.0000 0.6835 3.4888
2.2752 2.5249 6.3997
1.9846 2.9241 0.4509
4.2598 4.7655 3.3617
4.2598 0.6494 3.6700
6.5350 2.9241 0.4509

=====

Q: Look up the total magnetization of the ninth one.
A: 0.000 μB/atom